# PuMn2CdO8

A geometry-optimized PuMn2CdO8 structure (GGA+U, Alexandria via LeMat-Bulk).

Geometry as POSCAR:
```
PuMn2CdO8
1.0
-3.492 3.492 3.324
3.492 -3.492 3.324
3.492 3.492 -3.324
Pu Mn Cd O
1 2 1 8
Cartesian
0.000 0.000 0.000
3.492 0.000 1.662
0.000 0.000 3.324
0.000 3.492 1.662
1.968 0.000 0.333
5.016 0.000 0.333
3.492 2.219 -1.135
3.492 -1.524 2.990
0.000 1.273 2.189
3.492 1.524 2.990
2.219 3.492 1.135
1.273 0.000 4.459
```

DFT total energy: -7.275 eV per atom
Total moment: 8.00 μB per formula unit